No. 1
This record from Alexandria via LeMat-Bulk describes a relaxed ZnTe2Br crystal. The functional is GGA-PBE.

Cell: 6.3988 6.3988 5.8535 Å, 77.13 77.13 33.42°
Fractional positions:
1 Br 0.8428 0.8428 0.6346
2 Te 0.0058 0.0058 0.9891
3 Te 0.1461 0.1461 0.2883
4 Zn 0.5053 0.5053 0.5880

As for the space-group type: No. 8. As for the excess energy over the best structure of this formula in the dataset: 7.5 kJ per mole of atoms.

No. 2
This record from Alexandria via LeMat-Bulk describes a relaxed ZnTe2Br crystal. The functional is GGA-PBE.

Cell: 5.9737 5.9737 5.7335 Å, 83.78 83.78 35.93°
Fractional positions:
1 Br 0.7500 0.7500 0.7500
2 Te 0.9306 0.9306 0.1018
3 Te 0.5694 0.5694 0.3982
4 Zn 0.2500 0.2500 0.2500

As for the space-group type: No. 12. As for the excess energy over the best structure of this formula in the dataset: 16.5 kJ per mole of atoms.

No. 3
This record from Alexandria via LeMat-Bulk describes a relaxed ZnTe2Br crystal. The functional is GGA-PBE.

Cell: 5.2028 5.2028 5.2028 Å, 60.00 60.00 60.00°
Fractional positions:
1 Zn 0.0000 0.0000 0.0000
2 Te 0.2500 0.2500 0.2500
3 Te 0.7500 0.7500 0.7500
4 Br 0.5000 0.5000 0.5000

As for the space-group type: No. 225. As for the excess energy over the best structure of this formula in the dataset: 53.8 kJ per mole of atoms.

No. 4
This record from Alexandria via LeMat-Bulk describes a relaxed ZnTeBr2 crystal. The functional is GGA-PBE.

Cell: 8.1108 8.1108 8.1108 Å, 154.01 139.09 49.11°
Fractional positions:
1 Br 0.1001 0.1001 0.0000
2 Br 0.8276 0.3276 0.5000
3 Te 0.3563 0.3563 0.0000
4 Zn 0.2161 0.7161 0.5000

As for the space-group type: No. 44.

No. 5
This record from Alexandria via LeMat-Bulk describes a relaxed ZnTeBr2 crystal. The functional is GGA-PBE.

Cell: 5.4276 5.4276 3.4959 Å, 90.00 90.00 90.00°
Fractional positions:
1 Br 0.0000 0.0000 0.0000
2 Br 0.5000 0.5000 0.0000
3 Te 0.5000 0.0000 0.5000
4 Zn 0.0000 0.5000 0.5000

As for the space-group type: No. 123.

No. 6
This record from Alexandria via LeMat-Bulk describes a relaxed ZnTeBr2 crystal. The functional is GGA-PBE.

Cell: 3.4463 4.3835 6.7436 Å, 90.00 90.00 90.00°
Fractional positions:
1 Br 0.0000 0.0000 0.9942
2 Br 0.0000 0.0000 0.5058
3 Te 0.5000 0.5000 0.2500
4 Zn 0.5000 0.5000 0.7500

As for the space-group type: No. 47.

No. 7
This record from Alexandria via LeMat-Bulk describes a relaxed ZnTeBr crystal. The functional is GGA-PBE.

Cell: 8.5102 8.0596 3.7508 Å, 83.73 70.29 25.98°
Fractional positions:
1 Br 0.0496 0.0496 0.9504
2 Te 0.2904 0.2904 0.7096
3 Zn 0.6600 0.6600 0.3400

As for the space-group type: No. 42.

No. 8
This record from Alexandria via LeMat-Bulk describes a relaxed ZnTe2Br crystal. The functional is GGA-PBE.

Cell: 3.6719 6.1814 5.8987 Å, 81.47 90.00 90.00°
Fractional positions:
1 Br 0.5000 0.6761 0.6357
2 Te 0.0000 0.0924 0.9990
3 Te 0.5000 0.3436 0.2454
4 Zn 0.0000 0.3878 0.6199

As for the space-group type: No. 6. As for the excess energy over the best structure of this formula in the dataset: 2.1 kJ per mole of atoms.

The following uncorrected formation energy values (in kJ/mol of formula units) correspond, in order, to the records above: -59 -23 126 -128 111 120 -64 -81.
The following VASP energy values (in eV/atom) correspond, in order, to the records above: -2.461 -2.367 -1.981 -2.272 -1.654 -1.630 -2.249 -2.517.
The following magnetization values (in μB per formula unit) correspond, in order, to the records above: 0.000 0.000 0.000 0.000 0.000 0.000 0.000 0.000.